--- A ---
Crystalline Ca2MnRu at its relaxed geometry, computed with GGA-PBE.

Results
- Crystal system: orthorhombic
- Theoretical density: 4.25 g/cm3
- Volume: 184.4 Å³ per cell
- M_tot: 0.982 μB/atom

a = 3.454 Å, b = 5.069 Å, c = 10.535 Å
α = 90.00°, β = 90.00°, γ = 90.00°
Positions (direct):
Ca (0.000, 0.000, 0.000)
Ca (0.000, 0.500, 0.208)
Ca (0.500, 0.000, 0.708)
Ca (0.500, 0.500, 0.500)
Mn (0.000, 0.000, 0.415)
Mn (0.500, 0.500, 0.915)
Ru (0.000, 0.500, 0.756)
Ru (0.500, 0.000, 0.256)

--- B ---
Crystalline Ca2MnRu at its relaxed geometry, computed with GGA-PBE.

Results
- Crystal system: tetragonal
- Theoretical density: 4.48 g/cm3
- Volume: 175.1 Å³ per cell
- M_tot: 1.131 μB/atom

a = 4.726 Å, b = 4.726 Å, c = 7.840 Å
α = 90.00°, β = 90.00°, γ = 90.00°
Positions (direct):
Ca (0.000, 0.500, 0.250)
Ca (0.000, 0.500, 0.750)
Ca (0.500, 0.000, 0.250)
Ca (0.500, 0.000, 0.750)
Mn (0.000, 0.000, 0.000)
Mn (0.500, 0.500, 0.500)
Ru (0.000, 0.000, 0.500)
Ru (0.500, 0.500, 0.000)

Of them, the most stable is A and the least stable is B.

--- A ---
Crystalline CaMnRu2 at its relaxed geometry, computed with GGA-PBE.

Results
- Crystal system: tetragonal
- Theoretical density: 6.88 g/cm3
- Volume: 71.7 Å³ per cell
- M_tot: 1.140 μB/atom

a = 3.132 Å, b = 3.132 Å, c = 7.316 Å
α = 90.00°, β = 90.00°, γ = 90.00°
Positions (direct):
Ca (0.000, 0.000, 0.000)
Mn (0.500, 0.500, 0.332)
Ru (0.000, 0.000, 0.519)
Ru (0.500, 0.500, 0.715)

--- B ---
Crystalline CaMnRu2 at its relaxed geometry, computed with GGA-PBE.

Results
- Crystal system: tetragonal
- Theoretical density: 6.97 g/cm3
- Volume: 283.1 Å³ per cell
- M_tot: 0.215 μB/atom

a = 7.118 Å, b = 7.118 Å, c = 5.588 Å
α = 90.00°, β = 90.00°, γ = 90.00°
Positions (direct):
Ca (0.000, 0.000, 0.000)
Ca (0.000, 0.500, 0.250)
Ca (0.500, 0.000, 0.750)
Ca (0.500, 0.500, 0.500)
Mn (0.000, 0.000, 0.500)
Mn (0.000, 0.500, 0.750)
Mn (0.500, 0.000, 0.250)
Mn (0.500, 0.500, 0.000)
Ru (0.178, 0.250, 0.625)
Ru (0.250, 0.678, 0.875)
Ru (0.250, 0.822, 0.375)
Ru (0.322, 0.250, 0.125)
Ru (0.678, 0.750, 0.125)
Ru (0.750, 0.178, 0.375)
Ru (0.750, 0.322, 0.875)
Ru (0.822, 0.750, 0.625)

--- C ---
Crystalline CaMnRu2 at its relaxed geometry, computed with GGA-PBE.

Results
- Crystal system: tetragonal
- Theoretical density: 7.64 g/cm3
- Volume: 64.6 Å³ per cell
- M_tot: 0.639 μB/atom

a = 4.484 Å, b = 4.484 Å, c = 3.213 Å
α = 90.00°, β = 90.00°, γ = 90.00°
Positions (direct):
Ca (0.000, 0.000, 0.000)
Mn (0.500, 0.500, 0.000)
Ru (0.000, 0.500, 0.500)
Ru (0.500, 0.000, 0.500)

Of them, the most stable is A and the least stable is B.

--- A ---
Crystalline CaMnRu2 at its relaxed geometry, computed with GGA-PBE.

Results
- Crystal system: cubic
- Theoretical density: 7.72 g/cm3
- Volume: 255.5 Å³ per cell
- M_tot: 0.674 μB/atom

a = 6.346 Å, b = 6.346 Å, c = 6.346 Å
α = 90.00°, β = 90.00°, γ = 90.00°
Positions (direct):
Ca (0.000, 0.000, 0.000)
Ca (0.000, 0.500, 0.500)
Ca (0.500, 0.000, 0.500)
Ca (0.500, 0.500, 0.000)
Mn (0.000, 0.000, 0.500)
Mn (0.000, 0.500, 0.000)
Mn (0.500, 0.000, 0.000)
Mn (0.500, 0.500, 0.500)
Ru (0.250, 0.250, 0.250)
Ru (0.250, 0.250, 0.750)
Ru (0.250, 0.750, 0.250)
Ru (0.250, 0.750, 0.750)
Ru (0.750, 0.250, 0.250)
Ru (0.750, 0.250, 0.750)
Ru (0.750, 0.750, 0.250)
Ru (0.750, 0.750, 0.750)

--- B ---
Crystalline CaMnRu2 at its relaxed geometry, computed with GGA-PBE.

Results
- Crystal system: orthorhombic
- Theoretical density: 7.37 g/cm3
- Volume: 134.0 Å³ per cell
- M_tot: 0.861 μB/atom

a = 3.012 Å, b = 4.643 Å, c = 9.579 Å
α = 90.00°, β = 90.00°, γ = 90.00°
Positions (direct):
Ca (0.000, 0.000, 0.000)
Ca (0.500, 0.500, 0.500)
Mn (0.000, 0.500, 0.222)
Mn (0.500, 0.000, 0.722)
Ru (0.000, 0.000, 0.493)
Ru (0.000, 0.500, 0.770)
Ru (0.500, 0.000, 0.270)
Ru (0.500, 0.500, 0.993)

--- C ---
Crystalline CaMnRu2 at its relaxed geometry, computed with GGA-PBE.

Results
- Crystal system: orthorhombic
- Theoretical density: 7.54 g/cm3
- Volume: 130.9 Å³ per cell
- M_tot: 0.730 μB/atom

a = 5.839 Å, b = 7.892 Å, c = 2.840 Å
α = 90.00°, β = 90.00°, γ = 90.00°
Positions (direct):
Ca (0.000, 0.000, 0.000)
Ca (0.500, 0.500, 0.000)
Mn (0.000, 0.500, 0.000)
Mn (0.500, 0.000, 0.000)
Ru (0.250, 0.250, 0.500)
Ru (0.250, 0.750, 0.500)
Ru (0.750, 0.250, 0.500)
Ru (0.750, 0.750, 0.500)

--- D ---
Crystalline CaMnRu2 at its relaxed geometry, computed with GGA-PBE.

Results
- Crystal system: tetragonal
- Theoretical density: 7.46 g/cm3
- Volume: 66.1 Å³ per cell
- M_tot: 0.471 μB/atom

a = 3.065 Å, b = 3.065 Å, c = 7.037 Å
α = 90.00°, β = 90.00°, γ = 90.00°
Positions (direct):
Ca (0.000, 0.000, 0.000)
Mn (0.000, 0.000, 0.500)
Ru (0.500, 0.500, 0.306)
Ru (0.500, 0.500, 0.694)

Of them, the most stable is D and the least stable is C.

--- A ---
Crystalline CaMnRu2 at its relaxed geometry, computed with GGA-PBE.

Results
- Crystal system: orthorhombic
- Theoretical density: 7.62 g/cm3
- Volume: 129.6 Å³ per cell
- M_tot: 0.599 μB/atom

a = 2.898 Å, b = 4.784 Å, c = 9.347 Å
α = 90.00°, β = 90.00°, γ = 90.00°
Positions (direct):
Ca (0.000, 0.000, 0.000)
Ca (0.500, 0.500, 0.500)
Mn (0.000, 0.000, 0.500)
Mn (0.500, 0.500, 0.000)
Ru (0.000, 0.500, 0.218)
Ru (0.000, 0.500, 0.782)
Ru (0.500, 0.000, 0.282)
Ru (0.500, 0.000, 0.718)

--- B ---
Crystalline CaMnRu2 at its relaxed geometry, computed with GGA-PBE.

Results
- Crystal system: tetragonal
- Theoretical density: 7.48 g/cm3
- Volume: 131.9 Å³ per cell
- M_tot: 0.837 μB/atom

a = 4.539 Å, b = 4.539 Å, c = 6.404 Å
α = 90.00°, β = 90.00°, γ = 90.00°
Positions (direct):
Ca (0.000, 0.000, 0.000)
Ca (0.500, 0.500, 0.500)
Mn (0.000, 0.500, 0.250)
Mn (0.500, 0.000, 0.750)
Ru (0.000, 0.000, 0.500)
Ru (0.000, 0.500, 0.750)
Ru (0.500, 0.000, 0.250)
Ru (0.500, 0.500, 0.000)

Of them, the most stable is A and the least stable is B.